# MgBe2Mo | Alexandria | PBE | relaxed
# * energy relative to the elements: 0.6 eV/f.u.
data_MgBe2Mo
_chemical_formula_sum 'Mg2 Be4 Mo2'
_cell_length_a 5.9470
_cell_length_b 5.9648
_cell_length_c 2.8415
_cell_angle_alpha 90.00
_cell_angle_beta 90.00
_cell_angle_gamma 90.00
_symmetry_space_group_name_H-M 'C m m m'
_symmetry_Int_Tables_number 65
_symmetry_space_group_name_Hall '-C 2 2'
loop_
_atom_site_label
_atom_site_fract_x
_atom_site_fract_y
_atom_site_fract_z
Mg1 0.0000 0.0000 0.0000
Be1 0.2500 0.2500 0.5000
Mo1 0.0000 0.5000 0.0000